Material: Pm2HPtO6
Method: DFT, GGA-PBE
State: relaxed

Geometry as extended XYZ:
```
20
Lattice="5.533 0.000 0.000 0.000 3.990 0.000 -4.878 0.000 10.259" Properties=species:S:1:pos:R:3 pbc="T T T"
Pm 0.148 0.693 1.918
Pm -2.291 1.302 7.047
Pm 2.946 2.688 3.212
Pm 0.507 3.297 8.342
H -2.439 0.000 5.130
H 0.000 1.995 0.000
Pt 2.767 0.000 0.000
Pt 0.328 1.995 5.130
O -1.616 0.918 4.746
O -4.055 1.077 9.876
O -0.280 2.730 3.307
O -2.719 3.256 8.436
O 1.648 2.930 1.266
O -0.791 3.056 6.396
O 1.447 0.935 3.863
O -0.992 1.061 8.993
O 3.374 0.735 1.823
O 0.935 1.260 6.953
O 4.711 2.913 0.383
O 2.272 3.073 5.513
```

Values from the calculation:
- V: 11.33 A^3/atom
- Energy: -6.65 eV/atom
- M_tot: 1.01 μB per formula unit